1.
# Pr3Sm7

An optimized crystal structure of Pr3Sm7 (PBE, Alexandria).

Calculated values
- total moment (μB/cell) = 0.00
- energy (eV/atom) = -4.724
- calculated formation energy (eV/atom) = 0.01

Cell lengths 5.162, 7.304, 10.961 Å; angles 119.92, 103.62, 90.00 degrees
Positions (direct):
Sm: 0.400 0.600 0.800
Sm: 0.600 0.400 0.200
Sm: 0.200 0.300 0.400
Sm: 0.401 0.101 0.801
Sm: 0.800 0.700 0.600
Sm: 0.599 0.899 0.199
Sm: 0.000 0.500 0.000
Pr: 0.801 0.201 0.601
Pr: 0.000 0.000 0.000
Pr: 0.199 0.799 0.399

2.
# La4Ru

An optimized crystal structure of La4Ru (PBE, Alexandria).

Calculated values
- total moment (μB/cell) = 0.00
- energy (eV/atom) = -5.900
- calculated formation energy (eV/atom) = -0.10

Cell lengths 6.754, 6.754, 6.754 Å; angles 94.30, 94.30, 148.21 degrees
Positions (direct):
La: 0.425 0.756 0.181
La: 0.756 0.575 0.330
La: 0.244 0.425 0.670
La: 0.575 0.244 0.819
Ru: 0.000 0.000 0.000

3.
# RbNbCo3

An optimized crystal structure of RbNbCo3 (PBE, Alexandria).

Calculated values
- total moment (μB/cell) = 1.41
- energy (eV/atom) = -5.099
- calculated formation energy (eV/atom) = 1.37

Cell lengths 4.723, 4.723, 4.723 Å; angles 90.00, 90.00, 90.00 degrees
Last column: magnetic moment on the atom in μB.
Positions (direct):
Co: 0.500 0.000 0.000  0.46
Co: 0.000 0.500 0.000  0.69
Co: 0.000 0.000 0.500  0.80
Rb: 0.500 0.500 0.500  -0.01
Nb: 0.000 0.000 0.000  -0.41

4.
# Na2Tb5Hg12

An optimized crystal structure of Na2Tb5Hg12 (PBE, Alexandria).

Calculated values
- total moment (μB/cell) = 0.00
- energy (eV/atom) = -1.795
- calculated formation energy (eV/atom) = -0.25

Cell lengths 9.929, 8.744, 9.124 Å; angles 121.81, 90.00, 124.60 degrees
Positions (direct):
Hg: 0.636 0.607 0.160
Hg: 0.364 0.393 0.840
Hg: 0.039 0.078 0.203
Hg: 0.611 0.769 0.543
Hg: 0.556 0.113 0.876
Hg: 0.030 0.393 0.840
Hg: 0.961 0.922 0.797
Hg: 0.842 0.231 0.457
Hg: 0.444 0.887 0.124
Hg: 0.389 0.231 0.457
Hg: 0.970 0.607 0.160
Hg: 0.158 0.769 0.543
Na: 0.748 0.000 0.000
Na: 0.252 0.000 0.000
Tb: 0.719 0.438 0.361
Tb: 0.731 0.463 0.786
Tb: 0.269 0.537 0.214
Tb: 0.000 0.000 0.500
Tb: 0.281 0.562 0.639

5.
# BaPtSe

An optimized crystal structure of BaPtSe (PBE, Alexandria).

Calculated values
- total moment (μB/cell) = 0.00
- formation energy without anion corrections (eV per formula unit) = -3.43
- energy (eV/atom) = -4.961

Cell lengths 3.986, 6.401, 6.915 Å; angles 93.83, 90.03, 71.83 degrees
Positions (direct):
Ba: 0.789 0.954 0.090
Ba: 0.570 0.390 0.691
Pt: 0.476 0.580 0.280
Pt: 0.884 0.764 0.502
Se: 0.297 0.936 0.693
Se: 0.062 0.407 0.088

6.
# SrLaY2Tc

An optimized crystal structure of SrLaY2Tc (PBE, Alexandria).

Calculated values
- total moment (μB/cell) = 0.00
- energy (eV/atom) = -5.209
- calculated formation energy (eV/atom) = 0.77

Cell lengths 5.784, 4.842, 5.784 Å; angles 90.00, 90.00, 90.00 degrees
Positions (direct):
Tc: 0.000 0.500 0.000
Sr: 0.500 0.500 0.500
Y: 0.000 0.000 0.500
Y: 0.500 0.000 0.000
La: 0.000 0.000 0.000